# 1
Density functional theory data (PBE) for an optimized crystal structure of Lu2MgSi.

Computed properties:
ΔE_f (raw): -286.6 meV/atom
E_tot: -4.302 eV/atom

Lattice parameters (Å, degrees): 4.649 4.649 4.070 90.00 90.00 90.00
Space group P4/mmm (No. 123)
Symmetry-distinct sites (fractional):
Lu (0.000, 0.500, 0.000) [2 per cell]
Mg (0.000, 0.000, 0.500) [1 per cell]
Si (0.500, 0.500, 0.500) [1 per cell]

=====

# 2
Density functional theory data (PBE) for an optimized crystal structure of Sr2Al3Au4.

Computed properties:
E_tot: -3.680 eV/atom

Lattice parameters (Å, degrees): 6.026 16.328 7.931 90.00 90.00 90.00
Space group Cmce (No. 64)
Symmetry-distinct sites (fractional):
Sr (0.000, 0.108, 0.093) [8 per cell]
Al (0.000, 0.000, 0.500) [4 per cell]
Al (0.250, 0.222, 0.750) [8 per cell]
Au (0.000, 0.192, 0.470) [8 per cell]
Au (0.250, 0.057, 0.750) [8 per cell]

=====

# 3
Density functional theory data (PBE) for an optimized crystal structure of KSb2Ru.

Computed properties:
ΔE_f (raw): -89.9 meV/atom
distance to the lowest polymorph of the same formula: 62 meV/atom
E_tot: -4.744 eV/atom

Lattice parameters (Å, degrees): 3.270 3.398 18.482 90.00 90.00 90.00
Space group Imm2 (No. 44)
Symmetry-distinct sites (fractional):
K (0.000, 0.000, 0.000) [2 per cell]
Sb (0.000, 0.000, 0.355) [2 per cell]
Sb (0.000, 0.500, 0.164) [2 per cell]
Ru (0.000, 0.500, 0.740) [2 per cell]

=====

# 4
Density functional theory data (PBE) for an optimized crystal structure of Na8B13C3.

Computed properties:
distance to the lowest polymorph of the same formula: 37 meV/atom
E_tot: -4.991 eV/atom

Lattice parameters (Å, degrees): 34.755 2.914 5.162 90.00 98.54 90.00
Space group Cm (No. 8)
Symmetry-distinct sites (fractional):
Na (0.000, 0.000, 0.000) [2 per cell]
Na (0.000, 0.500, 0.499) [2 per cell]
Na (0.126, 0.000, 0.126) [2 per cell]
Na (0.126, 0.500, 0.625) [2 per cell]
Na (0.251, 0.500, 0.749) [2 per cell]
Na (0.252, 0.000, 0.251) [2 per cell]
Na (0.374, 0.000, 0.373) [2 per cell]
Na (0.374, 0.500, 0.873) [2 per cell]
B (0.063, 0.000, 0.399) [2 per cell]
B (0.063, 0.000, 0.727) [2 per cell]
B (0.063, 0.500, 0.227) [2 per cell]
B (0.063, 0.500, 0.899) [2 per cell]
B (0.189, 0.000, 0.510) [2 per cell]
B (0.189, 0.000, 0.844) [2 per cell]
B (0.189, 0.500, 0.050) [2 per cell]
B (0.313, 0.000, 0.981) [2 per cell]
B (0.313, 0.500, 0.481) [2 per cell]
B (0.437, 0.000, 0.101) [2 per cell]
B (0.437, 0.000, 0.772) [2 per cell]
B (0.437, 0.500, 0.272) [2 per cell]
B (0.437, 0.500, 0.601) [2 per cell]
C (0.189, 0.500, 0.353) [2 per cell]
C (0.312, 0.000, 0.646) [2 per cell]
C (0.313, 0.500, 0.146) [2 per cell]